# 1
{"formula": "BaTaRe2", "functional": "PBE", "state": "optimized geometry", "lattice_angstrom": [[1.6582, -2.4084, 0.0000], [1.6582, 2.4084, 0.0000], [0.0000, 0.0000, 10.0029]], "species": ["Ba", "Ta", "Re", "Re"], "frac_coords": [[0.0000, 0.0000, 0.0000], [0.0000, 0.0000, 0.5000], [0.5000, 0.5000, 0.2913], [0.5000, 0.5000, 0.7087]], "e_above_lowest_polymorph_mev_per_atom": 94, "formation_enthalpy_0k_ev_per_atom": 0.7448, "crystal_system": "orthorhombic", "vol_a3_per_atom": 19.97}



# 2
{"formula": "HfTi2Cd2", "functional": "PBE", "state": "optimized geometry", "lattice_angstrom": [[8.2022, 0.0000, 0.0000], [0.0000, 8.2022, 0.0000], [0.0000, 0.0000, 2.9649]], "species": ["Hf", "Hf", "Ti", "Ti", "Ti", "Ti", "Cd", "Cd", "Cd", "Cd"], "frac_coords": [[0.0000, 0.0000, 0.0000], [0.5000, 0.5000, 0.0000], [0.1108, 0.3892, 0.0000], [0.3892, 0.8892, 0.0000], [0.6108, 0.1108, 0.0000], [0.8892, 0.6108, 0.0000], [0.1836, 0.6836, 0.5000], [0.3164, 0.1836, 0.5000], [0.6836, 0.8164, 0.5000], [0.8164, 0.3164, 0.5000]], "e_above_lowest_polymorph_mev_per_atom": 195, "formation_enthalpy_0k_ev_per_atom": 0.2205, "crystal_system": "tetragonal", "vol_a3_per_atom": 19.95}



# 3
{"formula": "TbDyMg3", "functional": "PBE", "state": "optimized geometry", "lattice_angstrom": [[3.0979, 1.7886, 8.2660], [-3.0979, 1.7886, 8.2660], [0.0000, -3.5771, 8.2660]], "species": ["Tb", "Tb", "Dy", "Dy", "Mg", "Mg", "Mg", "Mg", "Mg", "Mg"], "frac_coords": [[0.0674, 0.0674, 0.0674], [0.9326, 0.9326, 0.9326], [0.3349, 0.3349, 0.3349], [0.6651, 0.6651, 0.6651], [0.1114, 0.6217, 0.6217], [0.3783, 0.3783, 0.8886], [0.3783, 0.8886, 0.3783], [0.6217, 0.1114, 0.6217], [0.6217, 0.6217, 0.1114], [0.8886, 0.3783, 0.3783]], "e_above_lowest_polymorph_mev_per_atom": 52, "formation_enthalpy_0k_ev_per_atom": 0.0201, "crystal_system": "trigonal", "vol_a3_per_atom": 27.48}



# 4
{"formula": "Bi2BRhN", "functional": "PBE", "state": "optimized geometry", "lattice_angstrom": [[5.4511, 0.0000, 0.0000], [0.0000, 5.4511, 0.0000], [0.0000, 0.0000, 2.9127]], "species": ["Bi", "Bi", "B", "Rh", "N"], "frac_coords": [[0.0000, 0.5000, 0.0000], [0.5000, 0.0000, 0.0000], [0.0000, 0.0000, 0.0000], [0.5000, 0.5000, 0.5000], [0.0000, 0.0000, 0.5000]], "formation_energy_uncorrected_mev_per_atom": 441, "crystal_system": "tetragonal", "vol_a3_per_atom": 17.31}



# 5
{"formula": "Dy3Y7Tm2", "functional": "PBE", "state": "optimized geometry", "lattice_angstrom": [[6.3545, 0.0000, 0.0000], [0.0000, 3.5350, 0.0000], [-0.0537, 0.0000, 17.1575]], "species": ["Dy", "Dy", "Dy", "Y", "Y", "Y", "Y", "Y", "Y", "Y", "Tm", "Tm"], "frac_coords": [[0.0000, 0.0000, 0.0000], [0.4980, 0.5000, 0.6585], [0.5020, 0.5000, 0.3415], [0.1760, 0.5000, 0.1665], [0.2550, 0.0000, 0.5026], [0.3238, 0.0000, 0.8313], [0.5000, 0.5000, 0.0000], [0.6762, 0.0000, 0.1687], [0.7450, 0.0000, 0.4974], [0.8240, 0.5000, 0.8335], [0.0079, 0.0000, 0.3263], [0.9921, 0.0000, 0.6737]], "e_above_lowest_polymorph_mev_per_atom": 0, "formation_enthalpy_0k_ev_per_atom": 0.0737, "crystal_system": "monoclinic", "vol_a3_per_atom": 32.12}



# 6
{"formula": "Sm9Mg2In", "functional": "PBE", "state": "optimized geometry", "lattice_angstrom": [[4.9705, 0.0000, 0.0000], [0.0000, 4.9705, 0.0000], [0.0000, 0.0000, 14.9037]], "species": ["Sm", "Sm", "Sm", "Sm", "Sm", "Sm", "Sm", "Sm", "Sm", "Mg", "Mg", "In"], "frac_coords": [[0.0000, 0.0000, 0.0000], [0.0000, 0.0000, 0.3339], [0.0000, 0.0000, 0.6661], [0.0000, 0.5000, 0.1643], [0.0000, 0.5000, 0.5000], [0.0000, 0.5000, 0.8357], [0.5000, 0.0000, 0.1643], [0.5000, 0.0000, 0.5000], [0.5000, 0.0000, 0.8357], [0.5000, 0.5000, 0.3324], [0.5000, 0.5000, 0.6676], [0.5000, 0.5000, 0.0000]], "formation_enthalpy_0k_ev_per_atom": -0.0817, "crystal_system": "tetragonal", "vol_a3_per_atom": 30.68}



# 7
{"formula": "Er2Ga5Au4", "functional": "PBE", "state": "optimized geometry", "lattice_angstrom": [[0.0000, 4.4989, 9.2092], [2.6634, 0.0000, 9.2092], [2.6634, 4.4989, 0.0000]], "species": ["Er", "Er", "Ga", "Ga", "Ga", "Ga", "Ga", "Au", "Au", "Au", "Au"], "frac_coords": [[0.0966, 0.0966, 0.9034], [0.9034, 0.9034, 0.0966], [0.0000, 0.0000, 0.5000], [0.2500, 0.2500, 0.2500], [0.5000, 0.5000, 0.0000], [0.5000, 0.5000, 0.5000], [0.7500, 0.7500, 0.7500], [0.2037, 0.5263, 0.4737], [0.4737, 0.7963, 0.2037], [0.5263, 0.2037, 0.7963], [0.7963, 0.4737, 0.5263]], "formation_enthalpy_0k_ev_per_atom": -0.4706, "crystal_system": "orthorhombic", "vol_a3_per_atom": 20.06}



# 8
{"formula": "BeVTe", "functional": "PBE", "state": "optimized geometry", "lattice_angstrom": [[3.3844, -1.9537, 0.0000], [3.3844, 1.9537, 0.0000], [-2.2787, 0.0000, 8.8673]], "species": ["Be", "Be", "V", "V", "Te", "Te"], "frac_coords": [[0.0000, 0.0000, 0.0000], [0.0820, 0.0820, 0.2430], [0.3002, 0.3002, 0.9016], [0.6871, 0.6871, 0.0604], [0.5789, 0.5789, 0.7395], [0.7887, 0.7887, 0.3617]], "e_above_lowest_polymorph_mev_per_atom": 174, "formation_energy_uncorrected_mev_per_atom": 7, "crystal_system": "monoclinic", "vol_a3_per_atom": 19.54}



# 9
{"formula": "BiSbPN2", "functional": "PBE", "state": "optimized geometry", "lattice_angstrom": [[4.2746, 0.0000, 0.0000], [0.0000, 4.2746, 0.0000], [0.0000, 0.0000, 5.3881]], "species": ["Bi", "Sb", "P", "N", "N"], "frac_coords": [[0.0000, 0.0000, 0.0000], [0.5000, 0.5000, 0.5000], [0.0000, 0.0000, 0.5000], [0.0000, 0.5000, 0.0000], [0.5000, 0.0000, 0.0000]], "formation_energy_uncorrected_mev_per_atom": 1664, "crystal_system": "tetragonal", "vol_a3_per_atom": 19.69}



# 10
{"formula": "Tm6OsO12", "functional": "PBE", "state": "optimized geometry", "lattice_angstrom": [[4.8448, 2.7972, 3.0734], [-4.8448, 2.7972, 3.0734], [0.0000, -5.5943, 3.0734]], "species": ["Tm", "Tm", "Tm", "Tm", "Tm", "Tm", "Os", "O", "O", "O", "O", "O", "O", "O", "O", "O", "O", "O", "O"], "frac_coords": [[0.1104, 0.6440, 0.8170], [0.1830, 0.8896, 0.3560], [0.3560, 0.1830, 0.8896], [0.6440, 0.8170, 0.1104], [0.8170, 0.1104, 0.6440], [0.8896, 0.3560, 0.1830], [0.5000, 0.5000, 0.5000], [0.0692, 0.3225, 0.9099], [0.0901, 0.9308, 0.6775], [0.2006, 0.5376, 0.4227], [0.3225, 0.9099, 0.0692], [0.4227, 0.2006, 0.5376], [0.4624, 0.5773, 0.7994], [0.5376, 0.4227, 0.2006], [0.5773, 0.7994, 0.4624], [0.6775, 0.0901, 0.9308], [0.7994, 0.4624, 0.5773], [0.9099, 0.0692, 0.3225], [0.9308, 0.6775, 0.0901]], "formation_energy_uncorrected_mev_per_atom": -3121, "crystal_system": "trigonal", "vol_a3_per_atom": 13.15}



# 11
{"formula": "Pr2HoPaAs5", "functional": "PBE", "state": "optimized geometry", "lattice_angstrom": [[5.1017, 0.0000, 0.0000], [0.0000, 5.1017, 0.0000], [0.0000, 0.0000, 10.9090]], "species": ["Pr", "Pr", "Ho", "Pa", "As", "As", "As", "As", "As"], "frac_coords": [[0.0000, 0.0000, 0.2256], [0.0000, 0.0000, 0.7744], [0.5000, 0.5000, 0.5000], [0.5000, 0.5000, 0.0000], [0.0000, 0.0000, 0.5000], [0.0000, 0.5000, 0.0000], [0.5000, 0.0000, 0.0000], [0.5000, 0.5000, 0.2539], [0.5000, 0.5000, 0.7461]], "formation_enthalpy_0k_ev_per_atom": -0.6359, "crystal_system": "tetragonal", "vol_a3_per_atom": 31.55}



# 12
{"formula": "Pr2DyNi", "functional": "PBE", "state": "optimized geometry", "lattice_angstrom": [[1.8454, 1.0654, 10.5513], [-1.8454, 1.0654, 10.5513], [0.0000, -2.1308, 10.5513]], "species": ["Pr", "Pr", "Dy", "Ni"], "frac_coords": [[0.1099, 0.1099, 0.1099], [0.8901, 0.8901, 0.8901], [0.0000, 0.0000, 0.0000], [0.5000, 0.5000, 0.5000]], "e_above_lowest_polymorph_mev_per_atom": 284, "formation_enthalpy_0k_ev_per_atom": 0.1546, "crystal_system": "trigonal", "vol_a3_per_atom": 31.12}



# 13
{"formula": "Th3TcGe", "functional": "PBE", "state": "optimized geometry", "lattice_angstrom": [[6.1992, 0.0000, 0.0000], [2.9466, 6.7201, 0.0000], [2.4443, 2.7642, 6.6558]], "species": ["Th", "Th", "Th", "Th", "Th", "Th", "Tc", "Tc", "Ge", "Ge"], "frac_coords": [[0.0884, 0.3594, 0.2506], [0.3080, 0.8670, 0.7082], [0.3857, 0.7254, 0.2520], [0.6143, 0.2746, 0.7480], [0.6920, 0.1330, 0.2918], [0.9116, 0.6406, 0.7494], [0.2530, 0.3205, 0.5534], [0.7470, 0.6795, 0.4466], [0.1134, 0.1573, 0.9494], [0.8866, 0.8427, 0.0506]], "e_above_lowest_polymorph_mev_per_atom": 107, "formation_enthalpy_0k_ev_per_atom": -0.2366, "crystal_system": "triclinic", "vol_a3_per_atom": 27.73}



# 14
{"formula": "WAuBr2", "functional": "PBE", "state": "optimized geometry", "lattice_angstrom": [[3.1035, 0.0000, 0.0000], [0.0000, 4.6217, 0.0000], [0.0000, 0.0000, 5.8104]], "species": ["W", "Au", "Br", "Br"], "frac_coords": [[0.0000, 0.0000, 0.0000], [0.5000, 0.0000, 0.5000], [0.0000, 0.5000, 0.5000], [0.5000, 0.5000, 0.0000]], "e_above_lowest_polymorph_mev_per_atom": 887, "formation_energy_uncorrected_mev_per_atom": 1105, "crystal_system": "orthorhombic", "vol_a3_per_atom": 20.84}



# 15
{"formula": "FeCu4W", "functional": "PBE", "state": "optimized geometry", "lattice_angstrom": [[0.0000, 3.3465, 3.3465], [3.3465, 0.0000, 3.3465], [3.3465, 3.3465, 0.0000]], "species": ["Fe", "Cu", "Cu", "Cu", "Cu", "W"], "frac_coords": [[0.0000, 0.0000, 0.0000], [0.3747, 0.3747, 0.3747], [0.3747, 0.3747, 0.8758], [0.3747, 0.8758, 0.3747], [0.8758, 0.3747, 0.3747], [0.7500, 0.7500, 0.7500]], "formation_enthalpy_0k_ev_per_atom": 0.3125, "crystal_system": "cubic", "vol_a3_per_atom": 12.49}



# 16
{"formula": "Mn2AlSe", "functional": "PBE", "state": "optimized geometry", "lattice_angstrom": [[1.5208, 0.8781, 7.9210], [-1.5208, 0.8781, 7.9210], [0.0000, -1.7561, 7.9210]], "species": ["Mn", "Mn", "Al", "Se"], "frac_coords": [[0.0000, 0.0000, 0.0000], [0.2503, 0.2503, 0.2503], [0.7482, 0.7482, 0.7482], [0.5151, 0.5151, 0.5151]], "e_above_lowest_polymorph_mev_per_atom": 168, "formation_energy_uncorrected_mev_per_atom": 140, "crystal_system": "trigonal", "vol_a3_per_atom": 15.87}



# 17
{"formula": "KSiSb2", "functional": "PBE", "state": "optimized geometry", "lattice_angstrom": [[4.7515, 0.0000, 0.0000], [0.0000, 4.7515, 0.0000], [0.0000, 0.0000, 4.6596]], "species": ["K", "Si", "Sb", "Sb"], "frac_coords": [[0.0000, 0.0000, 0.0000], [0.5000, 0.5000, 0.0000], [0.0000, 0.5000, 0.5000], [0.5000, 0.0000, 0.5000]], "formation_energy_uncorrected_mev_per_atom": 274, "crystal_system": "tetragonal", "vol_a3_per_atom": 26.30}



# 18
{"formula": "TcPRu", "functional": "PBE", "state": "optimized geometry", "lattice_angstrom": [[0.0000, 2.8661, 2.8661], [2.8661, 0.0000, 2.8661], [2.8661, 2.8661, 0.0000]], "species": ["Tc", "P", "Ru"], "frac_coords": [[0.0000, 0.0000, 0.0000], [0.5000, 0.5000, 0.5000], [0.7500, 0.7500, 0.7500]], "e_above_lowest_polymorph_mev_per_atom": 304, "formation_enthalpy_0k_ev_per_atom": 0.0138, "crystal_system": "cubic", "vol_a3_per_atom": 15.70}



# 19
{"formula": "AlSiPt2", "functional": "PBE", "state": "optimized geometry", "lattice_angstrom": [[4.0147, -1.6070, 0.0000], [4.0147, 1.6070, 0.0000], [-0.8752, 0.0000, 4.6510]], "species": ["Al", "Si", "Pt", "Pt"], "frac_coords": [[0.0000, 0.0000, 0.0000], [0.5000, 0.5000, 0.5000], [0.2521, 0.2521, 0.7479], [0.7479, 0.7479, 0.2521]], "formation_energy_uncorrected_mev_per_atom": -601, "crystal_system": "monoclinic", "vol_a3_per_atom": 15.00}



# 20
{"formula": "PmYTm3", "functional": "PBE", "state": "optimized geometry", "lattice_angstrom": [[9.1551, 0.0000, 0.0000], [0.0000, 6.2548, 0.0000], [-5.1172, 0.0000, 11.0862]], "species": ["Pm", "Pm", "Pm", "Pm", "Y", "Y", "Y", "Y", "Tm", "Tm", "Tm", "Tm", "Tm", "Tm", "Tm", "Tm", "Tm", "Tm", "Tm", "Tm"], "frac_coords": [[0.1504, 0.1676, 0.0992], [0.1504, 0.3324, 0.5992], [0.8496, 0.6676, 0.4008], [0.8496, 0.8324, 0.9008], [0.3519, 0.1685, 0.9010], [0.3519, 0.3315, 0.4010], [0.6481, 0.6685, 0.5990], [0.6481, 0.8315, 0.0990], [0.0521, 0.6669, 0.2024], [0.0521, 0.8331, 0.7024], [0.2508, 0.6644, 0.0002], [0.2508, 0.8356, 0.5002], [0.4494, 0.6658, 0.7985], [0.4494, 0.8342, 0.2985], [0.5506, 0.1658, 0.7015], [0.5506, 0.3342, 0.2015], [0.7492, 0.1644, 0.4998], [0.7492, 0.3356, 0.9998], [0.9479, 0.1669, 0.2976], [0.9479, 0.3331, 0.7976]], "e_above_lowest_polymorph_mev_per_atom": 0, "formation_enthalpy_0k_ev_per_atom": 0.0038, "crystal_system": "monoclinic", "vol_a3_per_atom": 31.74}